No. 1
{
  "formula": "AcYOs",
  "functional": "GGA-PBE",
  "state": "optimized geometry",
  "space_group": "No. 107",
  "final_energy_ev_per_atom": -7.27,
  "mass_density_g_cm3": 9.58,
  "lattice_angstrom": [[-1.4554, 2.1759, -2.3978], [-3.0771, -1.7476, 0.2818], [0.2898, 4.0890, 6.1626]],
  "species": ["Ac", "Os", "Y"],
  "frac_coords": [[0.2943, 0.2943, 0.5886], [0.6588, 0.6588, 0.3177], [0.0468, 0.0468, 0.0937]]
}

=====

No. 2
{
  "formula": "La3CI",
  "functional": "GGA-PBE",
  "state": "optimized geometry",
  "space_group": "No. 221",
  "e_form_raw_ev_per_atom": -0.243,
  "mass_density_g_cm3": 6.44,
  "lattice_angstrom": [[5.2319, 0.0000, 0.0000], [0.0000, 5.2319, 0.0000], [0.0000, 0.0000, 5.2319]],
  "species": ["C", "La", "La", "La", "I"],
  "frac_coords": [[0.0000, 0.0000, 0.0000], [0.5000, 0.0000, 0.0000], [0.0000, 0.5000, 0.0000], [0.0000, 0.0000, 0.5000], [0.5000, 0.5000, 0.5000]]
}

=====

No. 3
{
  "formula": "Cs3TaAs3",
  "functional": "GGA-PBE",
  "state": "optimized geometry",
  "space_group": "No. 14",
  "final_energy_ev_per_atom": -4.44,
  "mass_density_g_cm3": 4.43,
  "lattice_angstrom": [[-0.1491, 2.5843, -7.9733], [9.1581, -4.2282, -1.5417], [-7.2354, -11.6140, -3.6290]],
  "species": ["Cs", "Cs", "Cs", "Cs", "Cs", "Cs", "Cs", "Cs", "Cs", "Cs", "Cs", "Cs", "As", "As", "As", "As", "As", "As", "As", "As", "As", "As", "As", "As", "Ta", "Ta", "Ta", "Ta"],
  "frac_coords": [[0.8022, 0.6191, 0.0589], [0.6978, 0.6191, 0.5589], [0.1978, 0.3809, 0.9411], [0.4122, 0.0205, 0.6448], [0.6756, 0.3529, 0.7911], [0.9122, 0.9795, 0.8552], [0.0878, 0.0205, 0.1448], [0.1756, 0.6471, 0.7089], [0.8244, 0.3529, 0.2911], [0.3022, 0.3809, 0.4411], [0.3244, 0.6471, 0.2089], [0.5878, 0.9795, 0.3552], [0.8151, 0.2568, 0.0298], [0.9169, 0.7150, 0.3244], [0.0831, 0.2850, 0.6756], [0.4241, 0.0886, 0.8988], [0.0759, 0.0886, 0.3988], [0.4169, 0.2850, 0.1756], [0.5831, 0.7150, 0.8244], [0.1849, 0.7432, 0.9702], [0.3151, 0.7432, 0.4702], [0.9241, 0.9114, 0.6012], [0.6849, 0.2568, 0.5298], [0.5759, 0.9114, 0.1012], [0.5632, 0.1455, 0.0566], [0.0632, 0.8545, 0.4434], [0.9368, 0.1455, 0.5566], [0.4368, 0.8545, 0.9434]]
}